Record 1
## Ca11In9Cu4 (PBE-GGA)

Data for a geometry-optimized Ca11In9Cu4 structure.

```
Ca11In9Cu4
1.0
-8.870 6.731 -7.475
-4.268 -1.921 12.569
1.601 3.267 1.043
Ca In Cu
11 9 4
Direct
0.934 0.588 0.000
0.066 0.412 0.000
0.588 0.934 0.000
0.412 0.066 0.000
0.373 0.627 0.000
0.627 0.373 0.000
0.163 0.837 0.000
0.837 0.163 0.000
0.000 0.000 0.000
0.692 0.692 0.000
0.308 0.308 0.000
0.166 0.628 0.500
0.834 0.372 0.500
0.628 0.166 0.500
0.372 0.834 0.500
0.919 0.778 0.500
0.081 0.222 0.500
0.778 0.919 0.500
0.222 0.081 0.500
0.500 0.500 0.500
0.755 0.552 0.500
0.245 0.448 0.500
0.552 0.755 0.500
0.448 0.245 0.500
```

Properties
* space-group type: Cmmm
* energy relative to the elements: -35 kJ per mole of atoms
* density: 4.57 g/cm3
* magnetic moment: 0.00 μB per cell


Record 2
## CaIn2Cu (PBE-GGA)

Data for a geometry-optimized CaIn2Cu structure.

```
CaIn2Cu
1.0
4.566 -0.005 -0.014
2.287 3.951 -0.014
2.267 1.305 5.545
Ca Cu In
1 1 2
Direct
0.494 0.494 0.519
0.682 0.682 0.954
0.043 0.043 0.869
0.281 0.281 0.158
```

Properties
* space-group type: Cm
* energy relative to the elements: -21 kJ per mole of atoms
* density: 5.52 g/cm3
* magnetic moment: 0.00 μB per cell


Record 3
## CaIn2Cu9 (PBE-GGA)

Data for a geometry-optimized CaIn2Cu9 structure.

```
CaIn2Cu9
1.0
5.072 0.000 0.000
0.000 8.469 0.000
0.000 0.000 8.469
Ca In Cu
2 4 18
Direct
0.000 0.500 0.500
0.000 0.000 0.000
0.000 0.625 0.125
0.000 0.375 0.875
0.000 0.125 0.375
0.000 0.875 0.625
0.500 0.500 0.000
0.500 0.000 0.500
0.500 0.705 0.564
0.500 0.295 0.436
0.500 0.205 0.936
0.500 0.795 0.064
0.500 0.436 0.705
0.500 0.564 0.295
0.500 0.064 0.205
0.500 0.936 0.795
0.754 0.824 0.324
0.754 0.176 0.676
0.754 0.324 0.176
0.754 0.676 0.824
0.246 0.176 0.676
0.246 0.824 0.324
0.246 0.676 0.824
0.246 0.324 0.176
```

Properties
* space-group type: P4/mbm
* energy relative to the elements: -9 kJ per mole of atoms
* energy relative to the lowest polymorph listed for this composition: 0.0 meV/atom
* density: 7.68 g/cm3
* magnetic moment: 0.00 μB per cell


Record 4
## CaIn2Cu2 (PBE-GGA)

Data for a geometry-optimized CaIn2Cu2 structure.

```
CaIn2Cu2
1.0
-1.049 -7.316 3.286
7.900 -1.515 -0.850
0.540 1.209 2.863
Ca Cu In
2 4 4
Direct
0.000 0.000 0.000
0.500 0.500 0.000
0.166 0.666 0.500
0.666 0.834 0.500
0.834 0.334 0.500
0.334 0.166 0.500
0.368 0.868 0.000
0.868 0.632 0.000
0.632 0.132 0.000
0.132 0.368 0.000
```

Properties
* space-group type: P4/mbm
* energy relative to the elements: 0 kJ per mole of atoms
* density: 6.39 g/cm3
* magnetic moment: 0.00 μB per cell